Compound: NdDy12Tm2
Source: the Alexandria database
Functional: PBE
Structure: optimized geometry

a b c (Å): 6.584 6.584 24.415
angles (deg): 92.25 92.25 114.83
Fractional coordinates of all 30 atoms:
Nd1 0.249 0.249 0.496
Nd2 0.751 0.751 0.504
Dy1 0.060 0.540 0.702
Dy2 0.066 0.595 0.830
Dy3 0.131 0.649 0.055
Dy4 0.161 0.161 0.066
Dy5 0.214 0.214 0.356
Dy6 0.232 0.732 0.425
Dy7 0.268 0.768 0.575
Dy8 0.283 0.283 0.633
Dy9 0.351 0.869 0.945
Dy10 0.352 0.352 0.911
Dy11 0.405 0.934 0.170
Dy12 0.460 0.940 0.298
Dy13 0.540 0.060 0.702
Dy14 0.595 0.066 0.830
Dy15 0.648 0.648 0.089
Dy16 0.649 0.131 0.055
Dy17 0.717 0.717 0.367
Dy18 0.732 0.232 0.425
Dy19 0.768 0.268 0.575
Dy20 0.786 0.786 0.644
Dy21 0.839 0.839 0.934
Dy22 0.869 0.351 0.945
Dy23 0.934 0.405 0.170
Dy24 0.940 0.460 0.298
Tm1 0.077 0.077 0.771
Tm2 0.443 0.443 0.230
Tm3 0.557 0.557 0.770
Tm4 0.923 0.923 0.229

- Total DFT energy (no corrections): -4.48 eV/atom
- Calculated density: 8.43 Mg/m³
- Energy of formation: 0.11 eV per atom